Entry 1:
The following is a PBE calculation of ZrSb2Os after structural relaxation, from Alexandria via LeMat-Bulk.

The structure in POSCAR format:
```
ZrSb2Os
1.0
3.195 -0.008 0.000
0.008 3.195 0.000
0.000 0.000 8.893
Os Sb Zr
1 2 1
Cartesian
1.602 1.594 6.564
0.000 0.000 8.249
1.602 1.594 2.572
0.000 0.000 4.848
```

Calculated values
Polymorph energy (0 for the lowest one) = 0 meV/atom
Formation energy without anion corrections = -0.20 eV/atom

Entry 2:
The following is a PBE calculation of IrPt2Cl after structural relaxation, from Alexandria via LeMat-Bulk.

The structure in POSCAR format:
```
IrPt2Cl
1.0
-2.375 5.117 0.456
-5.202 0.906 -1.997
3.603 -2.532 3.543
Ir Pt Cl
1 2 1
Cartesian
-2.687 0.685 0.390
3.441 -2.397 3.505
-1.420 2.902 1.594
0.110 0.247 2.827
```

Calculated values
Polymorph energy (0 for the lowest one) = 269 meV/atom
Formation energy without anion corrections = 0.56 eV/atom

Entry 3:
The following is a PBE calculation of LiInHIr2 after structural relaxation, from Alexandria via LeMat-Bulk.

The structure in POSCAR format:
```
LiInHIr2
1.0
3.981 0.000 0.000
0.000 3.981 0.000
0.000 0.000 4.016
H Ir Li In
1 2 1 1
Cartesian
0.000 0.000 0.000
0.000 1.990 0.000
1.990 0.000 0.000
0.000 0.000 2.008
1.990 1.990 2.008
```

Entry 4:
The following is a PBE calculation of MgPdI2N after structural relaxation, from Alexandria via LeMat-Bulk.

The structure in POSCAR format:
```
MgPdI2N
1.0
5.733 0.000 0.000
0.000 5.733 0.000
0.000 0.000 4.013
I Mg Pd N
2 1 1 1
Cartesian
0.000 2.866 0.000
2.866 0.000 0.000
0.000 0.000 0.000
2.866 2.866 2.007
0.000 0.000 2.007
```

Calculated values
Polymorph energy (0 for the lowest one) = 162 meV/atom
Formation energy without anion corrections = 0.57 eV/atom

Entry 5:
The following is a PBE calculation of NaSiB after structural relaxation, from Alexandria via LeMat-Bulk.

The structure in POSCAR format:
```
NaSiB
1.0
-2.253 1.804 -1.935
-0.717 -0.667 3.334
4.182 7.874 2.474
Na Si B
2 2 2
Cartesian
0.000 0.000 0.000
2.091 3.937 1.237
-0.184 2.126 2.196
1.395 6.886 1.677
1.907 6.063 3.433
-0.696 2.949 0.440
```

Calculated values
Formation energy without anion corrections = 0.02 eV/atom

Entry 6:
The following is a PBE calculation of Sr2InAg after structural relaxation, from Alexandria via LeMat-Bulk.

The structure in POSCAR format:
```
Sr2InAg
1.0
-6.018 -2.962 -5.969
2.203 -2.679 4.600
-3.574 -0.576 1.369
Sr Ag In
2 1 1
Cartesian
0.000 0.000 0.000
-4.796 -1.769 -2.300
-0.685 -1.628 2.985
-1.907 -2.820 -0.684
```

Entry 7:
The following is a PBE calculation of CaPr4Al2 after structural relaxation, from Alexandria via LeMat-Bulk.

The structure in POSCAR format:
```
CaPr4Al2
1.0
11.616 0.000 0.000
0.000 6.681 -0.823
0.000 0.660 5.369
Pr Ca Al
8 2 4
Cartesian
10.023 3.341 -0.411
8.264 3.671 2.274
9.161 0.331 2.686
7.401 0.000 0.001
4.215 7.341 4.545
2.456 7.010 1.860
3.353 3.670 2.272
1.593 4.000 4.957
0.000 0.000 0.000
5.808 3.340 -0.412
11.616 4.953 2.117
0.000 2.388 2.430
5.808 5.728 2.018
5.808 1.612 2.528
```

Entry 8:
The following is a PBE calculation of Tb3Er8Tm3 after structural relaxation, from Alexandria via LeMat-Bulk.

The structure in POSCAR format:
```
Tb3Er8Tm3
1.0
-0.566 -5.457 -0.748
6.592 -4.230 5.386
-8.033 -2.576 4.380
Tb Er Tm
3 8 3
Cartesian
-1.003 -6.132 4.509
-0.742 -5.728 1.366
-1.265 -6.535 7.652
-4.118 -5.550 2.618
2.111 -6.714 6.399
2.389 -6.285 3.066
-4.395 -5.978 5.952
0.097 -9.246 5.906
-2.104 -3.017 3.112
-2.947 -8.902 5.697
0.940 -3.361 3.321
-0.283 -2.728 -0.374
3.919 -3.928 5.202
-5.360 -2.879 4.564
```

Calculated values
Polymorph energy (0 for the lowest one) = 8 meV/atom

Entry 9:
The following is a PBE calculation of Mn5GaSi2Mo2 after structural relaxation, from Alexandria via LeMat-Bulk.

The structure in POSCAR format:
```
Mn5GaSi2Mo2
1.0
3.591 0.000 0.000
0.000 8.570 0.000
0.000 0.000 8.570
Mn Ga Si Mo
10 2 4 4
Cartesian
1.795 1.793 0.533
1.795 6.776 8.037
1.795 0.533 6.776
1.795 6.078 3.752
1.795 8.037 1.793
1.795 2.492 4.818
1.795 4.818 6.078
1.795 3.752 2.492
1.795 4.285 0.000
1.795 0.000 4.285
0.000 0.000 0.000
0.000 4.285 4.285
0.000 1.010 5.294
0.000 7.560 3.275
0.000 5.294 7.560
0.000 3.275 1.010
0.000 5.804 1.519
0.000 2.766 7.051
0.000 1.519 2.766
0.000 7.051 5.804
```

Calculated values
Formation energy without anion corrections = -0.11 eV/atom

Number 1: final energy -28.812 eV for the cell shown. Number 2: final energy -20.566 eV for the cell shown. Number 3: final energy -26.518 eV for the cell shown. Number 4: final energy -15.342 eV for the cell shown. Number 5: final energy -26.716 eV for the cell shown. Number 6: final energy -10.273 eV for the cell shown. Number 7: final energy -58.806 eV for the cell shown. Number 8: final energy -62.052 eV for the cell shown. Number 9: final energy -164.993 eV for the cell shown.